Computed, not measured: Pm2Pr2Au5 after structural relaxation at the GGA-PBE level of DFT.

Cell: 8.647 8.647 7.985 Å, 90.00 90.00 54.73°
Sites, in units of the cell vectors:
Pm 0.156 0.844 0.845
Pm 0.344 0.656 0.345
Pm 0.656 0.344 0.655
Pm 0.844 0.156 0.155
Pr 0.199 0.199 0.500
Pr 0.301 0.301 0.000
Pr 0.699 0.699 0.000
Pr 0.801 0.801 0.500
Au 0.000 0.000 0.500
Au 0.015 0.716 0.148
Au 0.216 0.515 0.648
Au 0.284 0.985 0.148
Au 0.485 0.784 0.648
Au 0.500 0.500 0.000
Au 0.515 0.216 0.352
Au 0.716 0.015 0.852
Au 0.784 0.485 0.352
Au 0.985 0.284 0.852

## Properties
- Space-group type: Cmce
- DFT total energy: -4.63 eV/atom

---

Computed, not measured: Ac3Pr2Er after structural relaxation at the GGA-PBE level of DFT.

Cell: 7.185 7.185 9.474 Å, 97.59 97.59 96.33°
Sites, in units of the cell vectors:
Ac 0.057 0.943 0.750
Ac 0.204 0.368 0.021
Ac 0.368 0.204 0.521
Ac 0.632 0.796 0.479
Ac 0.796 0.632 0.979
Ac 0.943 0.057 0.250
Pr 0.116 0.615 0.382
Pr 0.385 0.884 0.118
Pr 0.615 0.116 0.882
Pr 0.884 0.385 0.618
Er 0.380 0.620 0.750
Er 0.620 0.380 0.250

## Properties
- Space-group type: C2/c
- DFT total energy: -4.29 eV/atom